# PBE-GGA ErSiAu, optimized geometry
# SG: I4mm (107)
# ΔE_f (raw): -0.3796 eV/atom
data_ErSiAu
_chemical_formula_sum 'Er1 Si1 Au1'
_cell_length_a 3.449
_cell_length_b 3.449
_cell_length_c 5.626
_cell_angle_alpha 107.85
_cell_angle_beta 107.85
_cell_angle_gamma 90.00
_symmetry_space_group_name_H-M 'P 1'
_symmetry_Int_Tables_number 1
loop_
_symmetry_equiv_pos_as_xyz
'x,y,z'
loop_
_atom_site_label
_atom_site_type_symbol
_atom_site_fract_x
_atom_site_fract_y
_atom_site_fract_z
_atom_site_occupancy
Si1 Si 0.302 0.302 0.604 1
Au1 Au 0.933 0.933 0.867 1
Er1 Er 0.615 0.615 0.230 1